Record 1
# InPd2Pt3

A geometry-optimized InPd2Pt3 structure (PBE, the Alexandria database).

Energy above the lowest structure with this stoichiometry, eV per atom: 0.048
Raw total energy, eV per cell: -63.20

Unit cell a=5.3722 b=5.3722 c=8.3918 alpha=90.00 beta=90.00 gamma=120.00
Atoms (fractional coordinates):
1 In 0.3333 0.6667 0.0986
2 In 0.6667 0.3333 0.9014
3 Pd 0.0000 0.0000 0.0000
4 Pd 0.0000 0.0000 0.5000
5 Pd 0.3333 0.6667 0.4587
6 Pd 0.6667 0.3333 0.5413
7 Pt 0.1709 0.3418 0.7510
8 Pt 0.1709 0.8291 0.7510
9 Pt 0.3418 0.1709 0.2490
10 Pt 0.6582 0.8291 0.7510
11 Pt 0.8291 0.1709 0.2490
12 Pt 0.8291 0.6582 0.2490



Record 2
# FeTeOsN2

A geometry-optimized FeTeOsN2 structure (PBE, the Alexandria database).

Energy above the lowest structure with this stoichiometry, eV per atom: 0.631
Raw total energy, eV per cell: -32.13
Uncorrected formation energy, meV per atom: 1471

Unit cell a=3.6299 b=3.6299 c=5.9867 alpha=90.00 beta=90.00 gamma=90.00
Atoms (fractional coordinates):
1 Fe 0.0000 0.0000 0.0000
2 Te 0.0000 0.0000 0.5000
3 Os 0.5000 0.5000 0.5000
4 N 0.0000 0.5000 0.0000
5 N 0.5000 0.0000 0.0000